(i)
Crystalline Mg6MnCO8 at its relaxed geometry. Source: Alexandria, functional GGA+U. Values from VASP.

The structure in Quantum ESPRESSO input format:
```
&SYSTEM
  ibrav = 0, nat = 16, ntyp = 4
/
ATOMIC_SPECIES
Mg 24.30 Mg.upf
Mn 54.94 Mn.upf
C 12.01 C.upf
O 16.00 O.upf
CELL_PARAMETERS angstrom
4.255 0.000 0.000
0.000 4.255 0.000
0.000 0.000 8.586
ATOMIC_POSITIONS crystal
Mg 0.000 0.000 0.000
Mg 0.000 0.000 0.500
Mg 0.000 0.500 0.243
Mg 0.000 0.500 0.757
Mg 0.500 0.000 0.243
Mg 0.500 0.000 0.757
Mn 0.500 0.500 0.500
C 0.500 0.500 0.000
O 0.000 0.000 0.248
O 0.000 0.000 0.752
O 0.000 0.500 0.000
O 0.000 0.500 0.500
O 0.500 0.000 0.000
O 0.500 0.000 0.500
O 0.500 0.500 0.245
O 0.500 0.500 0.755
```

M_tot, μB per formula unit: 5.00

=====

(ii)
Crystalline Mg6MnCO8 at its relaxed geometry. Source: Alexandria, functional GGA+U. Values from VASP.

The structure in Quantum ESPRESSO input format:
```
&SYSTEM
  ibrav = 0, nat = 16, ntyp = 4
/
ATOMIC_SPECIES
Mg 24.30 Mg.upf
Mn 54.94 Mn.upf
C 12.01 C.upf
O 16.00 O.upf
CELL_PARAMETERS angstrom
4.253 0.000 0.000
0.000 4.253 0.000
0.000 0.000 8.594
ATOMIC_POSITIONS crystal
Mg 0.000 0.000 0.000
Mg 0.000 0.500 0.251
Mg 0.000 0.500 0.749
Mg 0.500 0.000 0.251
Mg 0.500 0.000 0.749
Mg 0.500 0.500 0.000
Mn 0.000 0.000 0.500
C 0.500 0.500 0.500
O 0.000 0.000 0.244
O 0.000 0.000 0.756
O 0.000 0.500 0.000
O 0.000 0.500 0.500
O 0.500 0.000 0.000
O 0.500 0.000 0.500
O 0.500 0.500 0.249
O 0.500 0.500 0.751
```

M_tot, μB per formula unit: 5.00

=====

The computed energies, referenced to the most stable structure and given in kJ/mol of atoms, are (i) 0.0; (ii) 0.7.